Record 1
# Dy2ThSb (PBE, relaxed)
# * energy relative to the elements, uncorrected: -27.22 kJ per mole of atoms
# * energy above the most stable polymorph in this dataset: 210 meV/atom
data_Dy2ThSb
_chemical_formula_sum 'Dy6 Th3 Sb3'
_space_group_name_H-M_alt 'R -3 m'
_space_group_IT_number 166
_space_group_name_Hall '-R 3 2"'
_cell_length_a 3.9097
_cell_length_b 3.9097
_cell_length_c 28.7458
_cell_angle_alpha 90.00
_cell_angle_beta 90.00
_cell_angle_gamma 120.00
loop_
_atom_site_label
_atom_site_fract_x
_atom_site_fract_y
_atom_site_fract_z
_atom_site_occupancy
Dy1 0.0000 0.0000 0.2359 1
Th1 0.0000 0.0000 0.0000 1
Sb1 0.0000 0.0000 0.5000 1

Record 2
# K4Ho3ScO8 (PBE, relaxed)
# * energy relative to the elements, uncorrected: -266.57 kJ per mole of atoms
data_K4Ho3ScO8
_chemical_formula_sum 'K12 Ho9 Sc3 O24'
_space_group_name_H-M_alt 'R -3 m'
_space_group_IT_number 166
_space_group_name_Hall '-R 3 2"'
_cell_length_a 6.8233
_cell_length_b 6.8233
_cell_length_c 18.7024
_cell_angle_alpha 90.00
_cell_angle_beta 90.00
_cell_angle_gamma 120.00
loop_
_atom_site_label
_atom_site_fract_x
_atom_site_fract_y
_atom_site_fract_z
_atom_site_occupancy
K1 0.0000 0.0000 0.0000 1
K2 0.0000 0.5000 0.0000 1
Ho1 0.0000 0.5000 0.5000 1
Sc1 0.0000 0.0000 0.5000 1
O1 0.0000 0.0000 0.2286 1
O2 0.0108 0.5054 0.2273 1

Record 3
# CsZnAg3 (PBE, relaxed)
# * ΔE_f: 1.242 eV/atom
# * energy above the most stable polymorph in this dataset: 1173 meV/atom
data_CsZnAg3
_chemical_formula_sum 'Cs1 Zn1 Ag3'
_space_group_name_H-M_alt 'P m -3 m'
_space_group_IT_number 221
_space_group_name_Hall '-P 4 2 3'
_cell_length_a 6.7790
_cell_length_b 6.7790
_cell_length_c 6.7790
_cell_angle_alpha 90.00
_cell_angle_beta 90.00
_cell_angle_gamma 90.00
loop_
_atom_site_label
_atom_site_fract_x
_atom_site_fract_y
_atom_site_fract_z
_atom_site_occupancy
Cs1 0.0000 0.0000 0.0000 1
Zn1 0.5000 0.5000 0.5000 1
Ag1 0.0000 0.0000 0.5000 1

Record 4
# RbBiPb (PBE, relaxed)
# * ΔE_f: -0.084 eV/atom
data_RbBiPb
_chemical_formula_sum 'Rb4 Bi4 Pb4'
_space_group_name_H-M_alt 'F -4 3 m'
_space_group_IT_number 216
_space_group_name_Hall 'F -4 2 3'
_cell_length_a 8.1233
_cell_length_b 8.1233
_cell_length_c 8.1233
_cell_angle_alpha 90.00
_cell_angle_beta 90.00
_cell_angle_gamma 90.00
loop_
_atom_site_label
_atom_site_fract_x
_atom_site_fract_y
_atom_site_fract_z
_atom_site_occupancy
Rb1 0.0000 0.0000 0.0000 1
Bi1 0.2500 0.2500 0.2500 1
Pb1 0.0000 0.0000 0.5000 1